1.
{"formula": "CePuFeOs", "functional": "PBE-GGA", "state": "optimized geometry", "space_group": "No. 216", "e_form_ev_per_atom": 0.0114, "dos_ef_per_ev_cell": 7.34, "lattice_angstrom": [[-3.5684, -2.8789, 1.4519], [-2.7401, -2.2571, -3.2446], [0.3707, -4.7616, -0.5651]], "species": ["Fe", "Ce", "Pu", "Os"], "fractional_positions": [[0.7500, 0.7500, 0.7500], [0.5000, 0.5000, 0.5000], [0.0000, 0.0000, 0.0000], [0.2500, 0.2500, 0.2500]]}


2.
{"formula": "CeScFeOs", "functional": "PBE-GGA", "state": "optimized geometry", "space_group": "No. 216", "e_form_ev_per_atom": -0.1310, "dos_ef_per_ev_cell": 4.06, "lattice_angstrom": [[-2.2376, 4.0164, -0.9317], [-3.8943, -0.0367, -2.6152], [-4.1618, 0.8798, 1.9777]], "species": ["Ce", "Sc", "Fe", "Os"], "fractional_positions": [[0.5000, 0.5000, 0.5000], [0.0000, 0.0000, 0.0000], [0.2500, 0.2500, 0.2500], [0.7500, 0.7500, 0.7500]]}